Entry 1:
Entry from Alexandria: a relaxed LaCdFe2P crystal (PBE-GGA).

Unit cell a=4.335 b=4.335 c=5.437 alpha=90.00 beta=90.00 gamma=90.00
Element x y z (fractional)
La: 0.000 0.000 0.000
Cd: 0.500 0.500 0.000
Fe: 0.000 0.500 0.500
Fe: 0.500 0.000 0.500
P: 0.000 0.000 0.500

Output
* crystal system: tetragonal
* theoretical density: 6.4 g/cm³
* SG: No. 123
* ΔH_f (0 K): 150 kJ/mol of formula units



Entry 2:
Entry from Alexandria: a relaxed LaCd2FeRe crystal (PBE-GGA).

Unit cell a=5.584 b=5.584 c=4.236 alpha=90.00 beta=90.00 gamma=90.00
Element x y z (fractional)
La: 0.000 0.000 0.000
Cd: 0.000 0.500 0.000
Cd: 0.500 0.000 0.000
Fe: 0.000 0.000 0.500
Re: 0.500 0.500 0.500

Output
* crystal system: tetragonal
* theoretical density: 7.6 g/cm³
* SG: No. 123
* ΔH_f (0 K): 1098 kJ/mol of formula units



Entry 3:
Entry from Alexandria: a relaxed La6Cd2FeRu crystal (PBE-GGA).

Unit cell a=7.576 b=7.579 c=7.648 alpha=60.31 beta=60.31 gamma=89.95
Element x y z (fractional)
La: 0.000 0.000 0.000
La: 0.037 0.949 0.520
La: 0.088 0.507 0.005
La: 0.504 0.906 0.007
La: 0.551 0.463 0.501
La: 0.596 0.411 0.011
Cd: 0.048 0.460 0.504
Cd: 0.549 0.956 0.505
Fe: 0.825 0.739 0.957
Ru: 0.298 0.209 0.999

Output
* crystal system: triclinic
* theoretical density: 6.4 g/cm³
* SG: No. 1
* ΔH_f (0 K): -173 kJ/mol of formula units



Entry 4:
Entry from Alexandria: a relaxed LaSc2CdFe crystal (PBE-GGA).

Unit cell a=4.795 b=4.795 c=5.225 alpha=90.00 beta=90.00 gamma=90.00
Element x y z (fractional)
La: 0.000 0.000 0.000
Sc: 0.000 0.500 0.500
Sc: 0.500 0.000 0.500
Cd: 0.500 0.500 0.000
Fe: 0.500 0.500 0.500

Output
* crystal system: tetragonal
* theoretical density: 5.5 g/cm³
* SG: No. 123
* ΔH_f (0 K): -20 kJ/mol of formula units